(1)
# Mn2TcOs | the Alexandria database | PBE | optimized geometry
data_Mn2TcOs
_chemical_formula_sum 'Mn4 Tc2 Os2'
_cell_length_a 3.777
_cell_length_b 3.777
_cell_length_c 7.463
_cell_angle_alpha 90.00
_cell_angle_beta 90.00
_cell_angle_gamma 90.00
_symmetry_space_group_name_H-M 'I -4 m 2'
_symmetry_Int_Tables_number 119
_symmetry_space_group_name_Hall 'I -4 -2'
loop_
_atom_site_label
_atom_site_type_symbol
_atom_site_fract_x
_atom_site_fract_y
_atom_site_fract_z
Mn1 Mn 0.000 0.000 0.000
Mn2 Mn 0.000 0.500 0.250
Tc1 Tc 0.000 0.000 0.500
Os1 Os 0.000 0.500 0.750
# energy of formation	0.01	eV/atom



(2)
# MnTcOs | the Alexandria database | PBE | optimized geometry
data_MnTcOs
_chemical_formula_sum 'Mn2 Tc2 Os2'
_cell_length_a 2.691
_cell_length_b 3.787
_cell_length_c 7.992
_cell_angle_alpha 90.00
_cell_angle_beta 90.00
_cell_angle_gamma 90.00
_symmetry_space_group_name_H-M 'I m m 2'
_symmetry_Int_Tables_number 44
_symmetry_space_group_name_Hall 'I 2 -2'
loop_
_atom_site_label
_atom_site_type_symbol
_atom_site_fract_x
_atom_site_fract_y
_atom_site_fract_z
Mn1 Mn 0.000 0.000 0.000
Tc1 Tc 0.000 0.000 0.333
Os1 Os 0.000 0.000 0.663
# excess energy over the best structure of this formula in the dataset	0	meV per atom
# energy of formation	0.08	eV/atom



(3)
# Mn2TcOs | the Alexandria database | PBE | optimized geometry
data_Mn2TcOs
_chemical_formula_sum 'Mn2 Tc1 Os1'
_cell_length_a 2.689
_cell_length_b 3.735
_cell_length_c 5.291
_cell_angle_alpha 90.00
_cell_angle_beta 90.00
_cell_angle_gamma 90.00
_symmetry_space_group_name_H-M 'P m m 2'
_symmetry_Int_Tables_number 25
_symmetry_space_group_name_Hall 'P 2 -2'
loop_
_atom_site_label
_atom_site_type_symbol
_atom_site_fract_x
_atom_site_fract_y
_atom_site_fract_z
Mn1 Mn 0.000 0.000 0.000
Mn2 Mn 0.500 0.500 0.231
Tc1 Tc 0.500 0.500 0.739
Os1 Os 0.000 0.000 0.487
# energy of formation	0.07	eV/atom



(4)
# MnTcOs | the Alexandria database | PBE | optimized geometry
data_MnTcOs
_chemical_formula_sum 'Mn2 Tc2 Os2'
_cell_length_a 2.685
_cell_length_b 2.685
_cell_length_c 11.134
_cell_angle_alpha 90.00
_cell_angle_beta 90.00
_cell_angle_gamma 90.00
_symmetry_space_group_name_H-M 'I 4 m m'
_symmetry_Int_Tables_number 107
_symmetry_space_group_name_Hall 'I 4 -2'
loop_
_atom_site_label
_atom_site_type_symbol
_atom_site_fract_x
_atom_site_fract_y
_atom_site_fract_z
Mn1 Mn 0.000 0.000 0.000
Tc1 Tc 0.000 0.000 0.663
Os1 Os 0.000 0.000 0.344
# excess energy over the best structure of this formula in the dataset	10	meV per atom
# energy of formation	0.10	eV/atom



(5)
# Mn8Tc3Os | the Alexandria database | PBE | optimized geometry
data_Mn8Tc3Os
_chemical_formula_sum 'Mn8 Tc3 Os1'
_cell_length_a 4.6622
_cell_length_b 4.6622
_cell_length_c 7.6146
_cell_angle_alpha 90.00
_cell_angle_beta 90.00
_cell_angle_gamma 120.00
_symmetry_space_group_name_H-M 'P 3 m 1'
_symmetry_Int_Tables_number 156
_symmetry_space_group_name_Hall 'P 3 -2"'
loop_
_atom_site_label
_atom_site_type_symbol
_atom_site_fract_x
_atom_site_fract_y
_atom_site_fract_z
Mn1 Mn 0.0000 0.0000 0.0000
Mn2 Mn 0.0000 0.0000 0.4991
Mn3 Mn 0.1742 0.3484 0.7488
Mn4 Mn 0.3488 0.1744 0.2493
Tc1 Tc 0.3333 0.6667 0.0677
Tc2 Tc 0.3333 0.6667 0.4319
Tc3 Tc 0.6667 0.3333 0.9302
Os1 Os 0.6667 0.3333 0.5684
# energy of formation	-0.07	eV/atom



(6)
# Mn2TcOs | the Alexandria database | PBE | optimized geometry
data_Mn2TcOs
_chemical_formula_sum 'Mn6 Tc3 Os3'
_cell_length_a 2.6556
_cell_length_b 2.6556
_cell_length_c 25.4560
_cell_angle_alpha 90.00
_cell_angle_beta 90.00
_cell_angle_gamma 120.00
_symmetry_space_group_name_H-M 'R 3 m'
_symmetry_Int_Tables_number 160
_symmetry_space_group_name_Hall 'R 3 -2"'
loop_
_atom_site_label
_atom_site_type_symbol
_atom_site_fract_x
_atom_site_fract_y
_atom_site_fract_z
Mn1 Mn 0.0000 0.0000 0.0000
Mn2 Mn 0.0000 0.0000 0.2567
Tc1 Tc 0.0000 0.0000 0.5077
Os1 Os 0.0000 0.0000 0.7491
# energy of formation	0.16	eV/atom



(7)
# Mn2TcOs | the Alexandria database | PBE | optimized geometry
data_Mn2TcOs
_chemical_formula_sum 'Mn2 Tc1 Os1'
_cell_length_a 4.240
_cell_length_b 4.240
_cell_length_c 2.999
_cell_angle_alpha 90.00
_cell_angle_beta 90.00
_cell_angle_gamma 90.00
_symmetry_space_group_name_H-M 'P 4/m m m'
_symmetry_Int_Tables_number 123
_symmetry_space_group_name_Hall '-P 4 2'
loop_
_atom_site_label
_atom_site_type_symbol
_atom_site_fract_x
_atom_site_fract_y
_atom_site_fract_z
Mn1 Mn 0.000 0.500 0.000
Tc1 Tc 0.000 0.000 0.500
Os1 Os 0.500 0.500 0.500
# energy of formation	0.08	eV/atom



(8)
# MnTcOs | the Alexandria database | PBE | optimized geometry
data_MnTcOs
_chemical_formula_sum 'Mn4 Tc4 Os4'
_cell_length_a 2.946
_cell_length_b 4.447
_cell_length_c 12.891
_cell_angle_alpha 90.00
_cell_angle_beta 90.00
_cell_angle_gamma 90.00
_symmetry_space_group_name_H-M 'F m m 2'
_symmetry_Int_Tables_number 42
_symmetry_space_group_name_Hall 'F 2 -2'
loop_
_atom_site_label
_atom_site_type_symbol
_atom_site_fract_x
_atom_site_fract_y
_atom_site_fract_z
Mn1 Mn 0.000 0.000 0.000
Tc1 Tc 0.000 0.000 0.339
Os1 Os 0.000 0.000 0.663
# excess energy over the best structure of this formula in the dataset	238	meV per atom
# energy of formation	0.32	eV/atom



(9)
# MnTc2Os6 | the Alexandria database | PBE | optimized geometry
data_MnTc2Os6
_chemical_formula_sum 'Mn4 Tc8 Os24'
_cell_length_a 12.674
_cell_length_b 8.106
_cell_length_c 5.215
_cell_angle_alpha 90.00
_cell_angle_beta 103.41
_cell_angle_gamma 90.00
_symmetry_space_group_name_H-M 'C 1 2/c 1'
_symmetry_Int_Tables_number 15
_symmetry_space_group_name_Hall '-C 2yc'
loop_
_atom_site_label
_atom_site_type_symbol
_atom_site_fract_x
_atom_site_fract_y
_atom_site_fract_z
Mn1 Mn 0.000 0.077 0.250
Tc1 Tc 0.176 0.468 0.901
Os1 Os 0.002 0.340 0.000
Os2 Os 0.134 0.131 0.768
Os3 Os 0.183 0.202 0.293
# energy of formation	0.27	eV/atom



(10)
# Mn3TcOs | the Alexandria database | PBE | optimized geometry
data_Mn3TcOs
_chemical_formula_sum 'Mn3 Tc1 Os1'
_cell_length_a 4.368
_cell_length_b 4.368
_cell_length_c 4.368
_cell_angle_alpha 90.00
_cell_angle_beta 90.00
_cell_angle_gamma 90.00
_symmetry_space_group_name_H-M 'P m -3 m'
_symmetry_Int_Tables_number 221
_symmetry_space_group_name_Hall '-P 4 2 3'
loop_
_atom_site_label
_atom_site_type_symbol
_atom_site_fract_x
_atom_site_fract_y
_atom_site_fract_z
Mn1 Mn 0.000 0.000 0.500
Tc1 Tc 0.500 0.500 0.500
Os1 Os 0.000 0.000 0.000
# excess energy over the best structure of this formula in the dataset	0	meV per atom
# energy of formation	1.90	eV/atom



(11)
# Mn2TcOs | the Alexandria database | PBE | optimized geometry
data_Mn2TcOs
_chemical_formula_sum 'Mn4 Tc2 Os2'
_cell_length_a 8.806
_cell_length_b 2.671
_cell_length_c 4.563
_cell_angle_alpha 90.00
_cell_angle_beta 100.31
_cell_angle_gamma 90.00
_symmetry_space_group_name_H-M 'C 1 m 1'
_symmetry_Int_Tables_number 8
_symmetry_space_group_name_Hall 'C -2y'
loop_
_atom_site_label
_atom_site_type_symbol
_atom_site_fract_x
_atom_site_fract_y
_atom_site_fract_z
Mn1 Mn 0.000 0.000 0.000
Mn2 Mn 0.246 0.500 0.231
Tc1 Tc 0.496 0.000 0.491
Os1 Os 0.252 0.000 0.743
# energy of formation	0.06	eV/atom



(12)
# Mn2TcOs | the Alexandria database | PBE | optimized geometry
data_Mn2TcOs
_chemical_formula_sum 'Mn2 Tc1 Os1'
_cell_length_a 2.654
_cell_length_b 3.656
_cell_length_c 5.320
_cell_angle_alpha 90.00
_cell_angle_beta 90.00
_cell_angle_gamma 90.00
_symmetry_space_group_name_H-M 'P m m m'
_symmetry_Int_Tables_number 47
_symmetry_space_group_name_Hall '-P 2 2'
loop_
_atom_site_label
_atom_site_type_symbol
_atom_site_fract_x
_atom_site_fract_y
_atom_site_fract_z
Mn1 Mn 0.000 0.000 0.247
Tc1 Tc 0.500 0.500 0.500
Os1 Os 0.500 0.500 0.000
# energy of formation	0.08	eV/atom